<i>
## La3Nd7Dy2 (PBE-GGA)

Data for a geometry-optimized La3Nd7Dy2 structure.

The space group is P2/m (No. 10) and the conventional cell measures 6.010, 3.662 and 19.415 Å, with angles of 90.00, 93.02 and 90.00 degrees. The inequivalent atoms are La at (0.000, 0.000, 0.000), La at (0.277, 0.500, 0.634), Nd at (0.190, 0.500, 0.146), Nd at (0.244, 0.000, 0.463), Nd at (0.307, 0.000, 0.821), Nd at (0.500, 0.500, 0.000) and Dy at (0.215, 0.000, 0.294).

Its spin magnetization is 0.00 μB per formula unit.


<ii>
## La3Nd7Dy2 (PBE-GGA)

Data for a geometry-optimized La3Nd7Dy2 structure.

The space group is R-3m (No. 166, hexagonal axes) and the conventional cell measures 6.7055, 6.7055 and 34.2440 Å, with angles of 90.00, 90.00 and 120.00 degrees. The inequivalent atoms are La at (0.0000, 0.0000, 0.0000), La at (0.0000, 0.0000, 0.1517), Nd at (0.0000, 0.0000, 0.5000), Nd at (0.0038, 0.5019, 0.9165) and Dy at (0.0000, 0.0000, 0.3340).

Its spin magnetization is 0.00 μB per formula unit.


<i> ends up most stable, edging out the next structure by 170 meV/atom.